Entry from Alexandria via LeMat-Bulk: AsRhSN2 at its PBEsol-relaxed geometry (meta-GGA SCAN).

CIF file:
```
data_AsRhSN2
_chemical_formula_sum 'As1 Rh1 S1 N2'
_cell_length_a 3.5271
_cell_length_b 3.5271
_cell_length_c 5.6613
_cell_angle_alpha 90.00
_cell_angle_beta 90.00
_cell_angle_gamma 90.00
_symmetry_space_group_name_H-M 'P 4/m m m'
_symmetry_Int_Tables_number 123
_symmetry_space_group_name_Hall '-P 4 2'
loop_
_atom_site_label
_atom_site_type_symbol
_atom_site_fract_x
_atom_site_fract_y
_atom_site_fract_z
As1 As 0.0000 0.0000 0.0000
Rh1 Rh 0.5000 0.5000 0.5000
S1 S 0.0000 0.0000 0.5000
N1 N 0.0000 0.5000 0.0000
```

For the spin magnetization, the calculation gives 1.97 μB/cell. The value obtained for the formation energy (no corrections) is 1.339 eV/atom. The calculation puts the density of states at the Fermi level at 2.6 states/eV/f.u. The calculation puts the total energy at -15.095 eV per atom. As for the crystal system: tetragonal.

Entry from Alexandria via LeMat-Bulk: AsRhS2N at its PBEsol-relaxed geometry (meta-GGA SCAN).

CIF file:
```
data_AsRhS2N
_chemical_formula_sum 'As1 Rh1 S2 N1'
_cell_length_a 4.7079
_cell_length_b 4.7079
_cell_length_c 3.4310
_cell_angle_alpha 90.00
_cell_angle_beta 90.00
_cell_angle_gamma 90.00
_symmetry_space_group_name_H-M 'P 4/m m m'
_symmetry_Int_Tables_number 123
_symmetry_space_group_name_Hall '-P 4 2'
loop_
_atom_site_label
_atom_site_type_symbol
_atom_site_fract_x
_atom_site_fract_y
_atom_site_fract_z
As1 As 0.0000 0.0000 0.0000
Rh1 Rh 0.5000 0.5000 0.5000
S1 S 0.0000 0.5000 0.0000
N1 N 0.0000 0.0000 0.5000
```

For the spin magnetization, the calculation gives 0.00 μB/cell. The value obtained for the formation energy (no corrections) is 1.128 eV/atom. The calculation puts the density of states at the Fermi level at 3.8 states/eV/f.u. The calculation puts the total energy at -15.374 eV per atom. As for the crystal system: tetragonal.

Entry from Alexandria via LeMat-Bulk: TeAsRhN2 at its PBEsol-relaxed geometry (meta-GGA SCAN).

CIF file:
```
data_TeAsRhN2
_chemical_formula_sum 'Te1 As1 Rh1 N2'
_cell_length_a 3.6342
_cell_length_b 3.6342
_cell_length_c 6.9586
_cell_angle_alpha 90.00
_cell_angle_beta 90.00
_cell_angle_gamma 90.00
_symmetry_space_group_name_H-M 'P 4/m m m'
_symmetry_Int_Tables_number 123
_symmetry_space_group_name_Hall '-P 4 2'
loop_
_atom_site_label
_atom_site_type_symbol
_atom_site_fract_x
_atom_site_fract_y
_atom_site_fract_z
Te1 Te 0.0000 0.0000 0.0000
As1 As 0.0000 0.0000 0.5000
Rh1 Rh 0.5000 0.5000 0.0000
N1 N 0.0000 0.5000 0.5000
```

For the spin magnetization, the calculation gives 0.97 μB/cell. The value obtained for the formation energy (no corrections) is 1.339 eV/atom. The calculation puts the density of states at the Fermi level at 2.7 states/eV/f.u. The calculation puts the total energy at -20.621 eV per atom. As for the crystal system: tetragonal.

Entry from Alexandria via LeMat-Bulk: AsS2N2 at its PBEsol-relaxed geometry (meta-GGA SCAN).

CIF file:
```
data_AsS2N2
_chemical_formula_sum 'As1 S2 N2'
_cell_length_a 3.5560
_cell_length_b 3.5560
_cell_length_c 4.5812
_cell_angle_alpha 90.00
_cell_angle_beta 90.00
_cell_angle_gamma 90.00
_symmetry_space_group_name_H-M 'P 4/m m m'
_symmetry_Int_Tables_number 123
_symmetry_space_group_name_Hall '-P 4 2'
loop_
_atom_site_label
_atom_site_type_symbol
_atom_site_fract_x
_atom_site_fract_y
_atom_site_fract_z
As1 As 0.0000 0.0000 0.0000
S1 S 0.5000 0.5000 0.0000
S2 S 0.5000 0.5000 0.5000
N1 N 0.0000 0.5000 0.5000
```

For the spin magnetization, the calculation gives 0.00 μB/cell. The value obtained for the formation energy (no corrections) is 1.570 eV/atom. The calculation puts the density of states at the Fermi level at 2.3 states/eV/f.u. The calculation puts the total energy at -10.036 eV per atom. As for the crystal system: tetragonal.

> Look up the density of states at the Fermi level of the second one.

3.8 states/eV/f.u.

Repeat the third record exactly.
Entry from Alexandria via LeMat-Bulk: TeAsRhN2 at its PBEsol-relaxed geometry (meta-GGA SCAN).

CIF file:
```
data_TeAsRhN2
_chemical_formula_sum 'Te1 As1 Rh1 N2'
_cell_length_a 3.6342
_cell_length_b 3.6342
_cell_length_c 6.9586
_cell_angle_alpha 90.00
_cell_angle_beta 90.00
_cell_angle_gamma 90.00
_symmetry_space_group_name_H-M 'P 4/m m m'
_symmetry_Int_Tables_number 123
_symmetry_space_group_name_Hall '-P 4 2'
loop_
_atom_site_label
_atom_site_type_symbol
_atom_site_fract_x
_atom_site_fract_y
_atom_site_fract_z
Te1 Te 0.0000 0.0000 0.0000
As1 As 0.0000 0.0000 0.5000
Rh1 Rh 0.5000 0.5000 0.0000
N1 N 0.0000 0.5000 0.5000
```

For the spin magnetization, the calculation gives 0.97 μB/cell. The value obtained for the formation energy (no corrections) is 1.339 eV/atom. The calculation puts the density of states at the Fermi level at 2.7 states/eV/f.u. The calculation puts the total energy at -20.621 eV per atom. As for the crystal system: tetragonal.

> Which of these has the highest density of states at the Fermi level?

AsRhS2N

> The highest density of states at the Fermi level belongs to which entry?

AsRhS2N